Record 1
TcHgMoS2 | GGA-PBEsol | optimized geometry

Mass density in kg/m3: 7617
Raw formation energy in eV/atom: 0.7245
Space group: No. 123

Unit cell a=4.479 b=4.479 c=4.983 alpha=90.00 beta=90.00 gamma=90.00
Last column: magnetic moment on the atom in μB.
Atoms (fractional coordinates):
S 0.000 0.500 0.000  0.04
S 0.500 0.000 0.000  0.04
Tc 0.000 0.000 0.000  -0.22
Mo 0.000 0.000 0.500  2.22
Hg 0.500 0.500 0.500  0.00

***

Record 2
TlHgMoS2 | GGA-PBEsol | optimized geometry

Mass density in kg/m3: 6850
Raw formation energy in eV/atom: 1.4033
Space group: No. 123

Unit cell a=5.003 b=5.003 c=5.473 alpha=90.00 beta=90.00 gamma=90.00
Last column: magnetic moment on the atom in μB.
Atoms (fractional coordinates):
S 0.000 0.500 0.000  0.01
S 0.500 0.000 0.000  0.01
Tl 0.000 0.000 0.000  0.00
Hg 0.500 0.500 0.500  -0.01
Mo 0.000 0.000 0.500  3.54

***

Record 3
HgSb2Mo | GGA-PBEsol | optimized geometry

Mass density in kg/m3: 10609
Raw formation energy in eV/atom: 0.3144
Space group: No. 38

Unit cell a=3.536 b=4.601 c=5.489 alpha=90.00 beta=108.79 gamma=90.00
Atoms (fractional coordinates):
Hg 0.716 0.000 0.431
Mo 0.547 0.500 0.094
Sb 0.980 0.000 0.961
Sb 0.264 0.500 0.527

***

Record 4
HgSbMo2 | GGA-PBEsol | optimized geometry

Mass density in kg/m3: 10858
Raw formation energy in eV/atom: 0.3054
Space group: No. 160

Unit cell a=3.139 b=3.139 c=9.390 alpha=80.38 beta=80.38 gamma=60.00
Atoms (fractional coordinates):
Sb 0.490 0.490 0.529
Hg 0.259 0.259 0.224
Mo 0.011 0.011 0.967
Mo 0.740 0.740 0.780

***

Record 5
HgSb2Mo | GGA-PBEsol | optimized geometry

Mass density in kg/m3: 10674
Raw formation energy in eV/atom: 0.4956
Space group: No. 71

Unit cell a=3.707 b=5.108 c=5.445 alpha=117.97 beta=109.90 gamma=90.00
Atoms (fractional coordinates):
Sb 0.741 0.741 0.482
Sb 0.259 0.259 0.518
Mo 0.000 0.500 0.000
Hg 0.500 0.000 0.000

***

Record 6
Hg2SbMo | GGA-PBEsol | optimized geometry

Mass density in kg/m3: 12942
Raw formation energy in eV/atom: 0.5071
Space group: No. 139

Unit cell a=4.020 b=4.020 c=5.676 alpha=110.74 beta=110.74 gamma=90.00
Last column: magnetic moment on the atom in μB.
Atoms (fractional coordinates):
Sb 0.000 0.000 0.000  -0.02
Mo 0.500 0.500 0.000  1.19
Hg 0.750 0.250 0.500  -0.02
Hg 0.250 0.750 0.500  -0.02

***

Record 7
HgSb2Mo | GGA-PBEsol | optimized geometry

Mass density in kg/m3: 10859
Raw formation energy in eV/atom: 0.5169
Space group: No. 65

Unit cell a=3.487 b=4.919 c=4.919 alpha=101.81 beta=90.06 gamma=90.06
Atoms (fractional coordinates):
Hg 0.500 0.500 0.500
Sb 0.000 0.000 0.500
Sb 0.000 0.500 0.000
Mo 0.500 0.000 0.000

***

Record 8
HgSbMo2 | GGA-PBEsol | optimized geometry

Mass density in kg/m3: 11858
Raw formation energy in eV/atom: 0.6219
Space group: No. 47

Unit cell a=3.314 b=4.539 c=4.787 alpha=90.00 beta=90.00 gamma=90.00
Atoms (fractional coordinates):
Mo 0.500 0.000 0.500
Mo 0.000 0.000 0.000
Sb 0.500 0.500 0.000
Hg 0.000 0.500 0.500

***

Record 9
HgSb2Mo | GGA-PBEsol | optimized geometry

Mass density in kg/m3: 10063
Raw formation energy in eV/atom: 0.4304
Space group: No. 35

Unit cell a=3.069 b=3.069 c=9.927 alpha=90.00 beta=90.00 gamma=107.65
Atoms (fractional coordinates):
Hg 0.000 0.000 0.475
Sb 0.000 0.000 0.050
Sb 0.500 0.500 0.722
Mo 0.500 0.500 0.254

***

Record 10
Hg2SbMo | GGA-PBEsol | optimized geometry

Mass density in kg/m3: 11071
Raw formation energy in eV/atom: 0.3640
Space group: No. 44

Unit cell a=2.883 b=4.859 c=7.204 alpha=109.71 beta=101.54 gamma=90.00
Atoms (fractional coordinates):
Sb 0.184 0.684 0.369
Mo 0.509 0.509 0.017
Hg 0.822 0.322 0.644
Hg 0.985 0.985 0.970

***

Record 11
HgMo2Se | GGA-PBEsol | optimized geometry

Mass density in kg/m3: 11481
Raw formation energy in eV/atom: 0.6657
Space group: No. 47

Unit cell a=3.220 b=4.567 c=4.637 alpha=90.00 beta=90.00 gamma=90.00
Atoms (fractional coordinates):
Hg 0.000 0.500 0.500
Mo 0.500 0.000 0.500
Mo 0.000 0.000 0.000
Se 0.500 0.500 0.000

***

Record 12
Hg2MoSe | GGA-PBEsol | optimized geometry

Mass density in kg/m3: 11883
Raw formation energy in eV/atom: 0.0180
Space group: No. 99

Unit cell a=3.039 b=3.039 c=8.716 alpha=90.00 beta=90.00 gamma=90.00
Atoms (fractional coordinates):
Hg 0.000 0.000 0.009
Hg 0.500 0.500 0.291
Se 0.500 0.500 0.681
Mo 0.000 0.000 0.519